Entry 1:
# BaGa2Re | Alexandria via LeMat-Bulk | PBE | relaxed
data_BaGa2Re
_chemical_formula_sum 'Ba2 Ga4 Re2'
_cell_length_a 5.400
_cell_length_b 5.400
_cell_length_c 9.058
_cell_angle_alpha 72.66
_cell_angle_beta 72.66
_cell_angle_gamma 90.00
_space_group_name_H-M_alt 'P 1'
_space_group_IT_number 1
loop_
_space_group_symop_operation_xyz
'x,y,z'
loop_
_atom_site_label
_atom_site_type_symbol
_atom_site_fract_x
_atom_site_fract_y
_atom_site_fract_z
Ba1 Ba 0.500 0.500 0.000
Ba2 Ba 0.250 0.750 0.500
Ga1 Ga 0.875 0.124 0.750
Ga2 Ga 0.375 0.126 0.750
Ga3 Ga 0.876 0.625 0.250
Ga4 Ga 0.874 0.125 0.250
Re1 Re 0.750 0.250 0.500
Re2 Re 0.000 0.000 0.000
# ΔH_f (0 K) = 28 kJ per mole of atoms
# Offset from the most stable computed form = 0.00 kJ/mol of atoms

=====

Entry 2:
# Cs2HgHPd | Alexandria via LeMat-Bulk | PBE | relaxed
data_Cs2HgHPd
_chemical_formula_sum 'Cs2 Hg1 H1 Pd1'
_cell_length_a 6.807
_cell_length_b 6.807
_cell_length_c 3.607
_cell_angle_alpha 90.00
_cell_angle_beta 90.00
_cell_angle_gamma 90.00
_space_group_name_H-M_alt 'P 1'
_space_group_IT_number 1
loop_
_space_group_symop_operation_xyz
'x,y,z'
loop_
_atom_site_label
_atom_site_type_symbol
_atom_site_fract_x
_atom_site_fract_y
_atom_site_fract_z
Cs1 Cs 0.000 0.500 0.000
Cs2 Cs 0.500 0.000 0.000
H1 H 0.000 0.000 0.500
Pd1 Pd 0.000 0.000 0.000
Hg1 Hg 0.500 0.500 0.500
# Offset from the most stable computed form = 3.21 kJ/mol of atoms

=====

Entry 3:
# CrInCl2 | Alexandria via LeMat-Bulk | PBE | relaxed
data_CrInCl2
_chemical_formula_sum 'Cr1 In1 Cl2'
_cell_length_a 3.690
_cell_length_b 3.690
_cell_length_c 9.487
_cell_angle_alpha 90.00
_cell_angle_beta 90.00
_cell_angle_gamma 124.31
_space_group_name_H-M_alt 'P 1'
_space_group_IT_number 1
loop_
_space_group_symop_operation_xyz
'x,y,z'
loop_
_atom_site_label
_atom_site_type_symbol
_atom_site_fract_x
_atom_site_fract_y
_atom_site_fract_z
Cr1 Cr 0.500 0.500 0.250
Cl1 Cl 0.000 0.000 0.425
Cl2 Cl 0.000 0.000 0.075
In1 In 0.500 0.500 0.750
# E_form (uncorrected) = -0.523 eV/atom
# Offset from the most stable computed form = 0.99 kJ/mol of atoms

=====

| no. | DOS(E_F) (states/eV/f.u.) |
| --- | --- |
| 1 | 3.77 |
| 2 | 1.91 |
| 3 | 2.17 |